(1)
A relaxed structure of CsSiPt2Cl. Source: the Alexandria database, functional PBE.

Lattice parameters (Å, degrees): 5.194 5.194 6.499 90.00 90.00 90.00
Fractional positions:
1 Cs 0.000 0.000 0.000
2 Si 0.000 0.000 0.500
3 Pt 0.000 0.500 0.000
4 Pt 0.500 0.000 0.000
5 Cl 0.500 0.500 0.500

Summary:
Uncorrected formation energy: 1936 meV/atom

---

(2)
A relaxed structure of CsNa2WCl8. Source: the Alexandria database, functional PBE.

Lattice parameters (Å, degrees): 5.868 7.792 10.071 69.80 79.57 89.80
Fractional positions:
1 Cs 0.000 0.000 0.000
2 Na 0.430 0.467 0.186
3 Na 0.570 0.533 0.814
4 W 0.000 0.500 0.500
5 Cl 0.126 0.498 0.712
6 Cl 0.242 0.265 0.485
7 Cl 0.293 0.720 0.357
8 Cl 0.485 0.233 0.048
9 Cl 0.515 0.767 0.952
10 Cl 0.707 0.280 0.643
11 Cl 0.758 0.735 0.515
12 Cl 0.874 0.502 0.288

Summary:
Uncorrected formation energy: -1317 meV/atom

---

(3)
A relaxed structure of MnCuMo2. Source: the Alexandria database, functional PBE.

Lattice parameters (Å, degrees): 4.941 4.941 4.941 140.68 131.20 64.39
Fractional positions:
1 Mn 0.000 0.000 0.000
2 Cu 0.500 0.500 0.000
3 Mo 0.243 0.743 0.500
4 Mo 0.757 0.257 0.500

Summary:
Energy relative to the elements: 0.245 eV per atom

---

(4)
A relaxed structure of K2BeFe. Source: the Alexandria database, functional PBE.

Lattice parameters (Å, degrees): 6.345 6.345 6.345 144.28 125.64 66.76
Fractional positions:
1 K 0.000 0.000 0.000
2 K 0.693 0.193 0.500
3 Be 0.401 0.401 0.000
4 Fe 0.312 0.812 0.500

Summary:
Energy relative to the elements: 0.864 eV per atom

---

What is the formula in the second record?
CsNa2WCl8